# Y3TaNi, relaxed, DFT GGA-PBE
# - Offset from the most stable computed form: 0 meV per atom
# - Mass density: 6.2 g/cm3
# - ΔH_f (0 K): 0.50 eV/atom
# - E_tot: -34.5 eV/cell
data_Y3TaNi
_cell_length_a 5.1399
_cell_length_b 5.1399
_cell_length_c 5.1399
_cell_angle_alpha 90.00
_cell_angle_beta 90.00
_cell_angle_gamma 90.00
_space_group_name_H-M_alt 'P m -3 m'
_space_group_IT_number 221
_space_group_name_Hall '-P 4 2 3'
loop_
_atom_site_label
_atom_site_fract_x
_atom_site_fract_y
_atom_site_fract_z
Y1 0.0000 0.0000 0.5000
Ta1 0.5000 0.5000 0.5000
Ni1 0.0000 0.0000 0.0000

# YTa2Ni, relaxed, DFT GGA-PBE
# - Offset from the most stable computed form: 471 meV per atom
# - Mass density: 10.7 g/cm3
# - ΔH_f (0 K): 0.51 eV/atom
# - E_tot: -135.6 eV/cell
data_YTa2Ni
_cell_length_a 3.8773
_cell_length_b 3.8773
_cell_length_c 21.0840
_cell_angle_alpha 90.00
_cell_angle_beta 90.00
_cell_angle_gamma 90.00
_space_group_name_H-M_alt 'I -4 2 d'
_space_group_IT_number 122
_space_group_name_Hall 'I -4 2bw'
loop_
_atom_site_label
_atom_site_fract_x
_atom_site_fract_y
_atom_site_fract_z
Y1 0.0000 0.0000 0.0000
Ta1 0.2412 0.2500 0.6250
Ni1 0.0000 0.0000 0.5000